This record from the Alexandria database describes an optimized crystal structure of CuC2. The functional is PBE.

Summary:
Total magnetization in μB/cell: 0.000
Space-group type: Fd-3m
DOS(E_F) in states/eV per atom: 0.164
ΔE to the lowest computed polymorph in meV/atom: 2559
DFT formation energy in eV per atom: 2.793

Cell: 4.1605 4.1605 4.1605 Å, 60.00 60.00 60.00°
Closest atoms and distances in Å follow each position.
Element x y z (fractional)
C: 0.6250 0.1250 0.1250  6 C 2.08
C: 0.1250 0.1250 0.1250  6 C 2.08
C: 0.1250 0.1250 0.6250  6 C 2.08
C: 0.1250 0.6250 0.1250  6 C 2.08
Cu: 0.7500 0.7500 0.7500  12 C 2.44, 4 Cu 2.55
Cu: 0.5000 0.5000 0.5000  12 C 2.44, 4 Cu 2.55